[1]
5
Lattice="5.875 0.000 0.000 0.000 5.875 0.000 0.000 0.000 5.875" Properties=species:S:1:pos:R:3 comment="Na3BiPd GGA-PBE relaxed" de_polymorph_mev_per_atom=550 formation_energy_ev_per_atom=0.3730 pbc="T T T"
Na 0.000 0.000 2.938
Na 0.000 2.938 0.000
Na 2.938 0.000 0.000
Bi 0.000 0.000 0.000
Pd 2.938 2.938 2.938

---

[2]
12
Lattice="8.519 0.000 0.000 0.000 4.644 0.000 -1.062 0.000 11.658" Properties=species:S:1:pos:R:3 comment="BaNaInTe3 GGA-PBE relaxed" raw_formation_energy_ev_per_atom=-0.955 pbc="T T T"
Ba 1.048 1.161 3.431
Ba 6.410 3.483 8.227
Na 1.927 3.483 10.768
Na 5.531 1.161 0.890
In 1.633 1.161 8.002
In 5.824 3.483 3.656
Te -0.254 1.161 10.079
Te 1.091 3.483 6.347
Te 3.406 3.483 2.249
Te 4.052 1.161 9.410
Te 6.366 1.161 5.311
Te 7.712 3.483 1.580

---

Magnetic moment list, top to bottom, in μB/atom: 0.0000; 0.0000